Entry 1:
Pr3RuCl3, optimized geometry, DFT PBE-GGA; E above lowest polymorph = 0.0171 eV per atom; raw formation energy = -1412 meV per atom; Fermi-level density of states = 13.83 states/eV per cell; space-group type = Pnma (62)
1.0
14.386 0.000 0.000
0.000 4.190 0.000
0.000 0.000 12.594
Pr Ru Cl
12 4 12
Direct
0.087 0.250 0.175
0.106 0.250 0.678
0.134 0.750 0.428
0.366 0.250 0.928
0.394 0.750 0.178
0.413 0.750 0.675
0.587 0.250 0.325
0.606 0.250 0.822
0.634 0.750 0.072
0.866 0.250 0.572
0.894 0.750 0.322
0.913 0.750 0.825
0.010 0.250 0.399
0.490 0.750 0.899
0.510 0.250 0.101
0.990 0.750 0.601
0.038 0.250 0.896
0.206 0.750 0.075
0.237 0.750 0.791
0.263 0.250 0.291
0.294 0.250 0.575
0.462 0.750 0.396
0.538 0.250 0.604
0.706 0.750 0.425
0.737 0.750 0.709
0.763 0.250 0.209
0.794 0.250 0.925
0.962 0.750 0.104

=====

Entry 2:
DySi3TcOs, optimized geometry, DFT PBE-GGA; raw formation energy = -307 meV per atom; Fermi-level density of states = 3.71 states/eV per cell; space-group type = Cmcm (63)
1.0
3.868 -5.490 0.000
3.868 5.490 0.000
0.000 0.000 5.470
Dy Si Tc Os
2 6 2 2
Direct
0.240 0.760 0.750
0.760 0.240 0.250
0.248 0.752 0.250
0.251 0.251 0.000
0.251 0.251 0.500
0.749 0.749 0.000
0.749 0.749 0.500
0.752 0.248 0.750
0.449 0.551 0.250
0.551 0.449 0.750
0.046 0.954 0.250
0.954 0.046 0.750

=====

Entry 3:
Sr2ZrTa, optimized geometry, DFT PBE-GGA; E above lowest polymorph = 0.5198 eV per atom; Fermi-level density of states = 6.11 states/eV per cell; space-group type = P4/mmm (123); energy relative to the elements = 965 meV per atom
1.0
4.535 0.000 0.000
0.000 4.535 0.000
0.000 0.000 5.578
Sr Zr Ta
2 1 1
Direct
0.000 0.500 0.000
0.500 0.000 0.000
0.000 0.000 0.500
0.500 0.500 0.500

=====

Entry 4:
AgP2Cl, optimized geometry, DFT PBE-GGA; E above lowest polymorph = 0.5319 eV per atom; raw formation energy = 415 meV per atom; Fermi-level density of states = 1.12 states/eV per cell; space-group type = R-3m (166)
1.0
2.053 1.185 5.727
-2.053 1.185 5.727
0.000 -2.370 5.727
Ag P Cl
1 2 1
Direct
0.000 0.000 0.000
0.284 0.284 0.284
0.716 0.716 0.716
0.500 0.500 0.500

=====

The highest Fermi-level density of states belongs to which entry?
Pr3RuCl3